[1]
Computed, not measured: crystalline RbNa2InAu2 at its relaxed geometry at the PBE level of DFT.

Cell and atoms, written as POSCAR:
```
RbNa2InAu2
1.0
4.960 0.000 0.000
0.000 8.647 0.000
0.000 0.000 8.100
Rb Na In Au
2 4 2 4
direct
0.000 0.082 0.000 Rb
0.000 0.918 0.500 Rb
0.000 0.333 0.352 Na
0.000 0.667 0.852 Na
0.500 0.435 0.019 Na
0.500 0.565 0.519 Na
0.500 0.203 0.653 In
0.500 0.797 0.153 In
0.000 0.357 0.709 Au
0.000 0.643 0.209 Au
0.500 0.117 0.302 Au
0.500 0.883 0.802 Au
```

Properties
calculated total energy = -2.39 eV per atom
space group = No. 26


[2]
Computed, not measured: crystalline BeCdO2 at its relaxed geometry at the PBE level of DFT.

Cell and atoms, written as POSCAR:
```
BeCdO2
1.0
1.436 0.829 5.803
-1.436 0.829 5.803
0.000 -1.658 5.803
Be Cd O
1 1 2
direct
0.000 0.000 0.000 Be
0.500 0.500 0.500 Cd
0.385 0.385 0.385 O
0.615 0.615 0.615 O
```

Properties
space group = No. 166
formation energy (no corrections) = -1.146 eV/atom


[3]
Computed, not measured: crystalline AcLaTmHg at its relaxed geometry at the PBE level of DFT.

Cell and atoms, written as POSCAR:
```
AcLaTmHg
1.0
0.000 4.005 4.005
4.005 0.000 4.005
4.005 4.005 0.000
Ac La Tm Hg
1 1 1 1
direct
0.000 0.000 0.000 Ac
0.750 0.750 0.750 La
0.250 0.250 0.250 Tm
0.500 0.500 0.500 Hg
```

Properties
calculated total energy = -3.42 eV per atom
space group = No. 216


[4]
Computed, not measured: crystalline PbC8N6 at its relaxed geometry at the PBE level of DFT.

Cell and atoms, written as POSCAR:
```
PbC8N6
1.0
8.492 0.000 0.000
0.000 5.814 0.000
0.000 0.000 11.523
Pb C N
2 16 12
direct
0.000 0.000 0.000 Pb
0.500 0.000 0.500 Pb
0.000 0.406 0.261 C
0.000 0.411 0.660 C
0.000 0.589 0.340 C
0.000 0.594 0.739 C
0.142 0.317 0.621 C
0.142 0.683 0.379 C
0.358 0.317 0.879 C
0.358 0.683 0.121 C
0.500 0.406 0.239 C
0.500 0.411 0.840 C
0.500 0.589 0.160 C
0.500 0.594 0.761 C
0.642 0.317 0.879 C
0.642 0.683 0.121 C
0.858 0.317 0.621 C
0.858 0.683 0.379 C
0.000 0.251 0.195 N
0.000 0.749 0.805 N
0.239 0.239 0.913 N
0.239 0.761 0.087 N
0.261 0.239 0.587 N
0.261 0.761 0.413 N
0.500 0.251 0.305 N
0.500 0.749 0.695 N
0.739 0.239 0.587 N
0.739 0.761 0.413 N
0.761 0.239 0.913 N
0.761 0.761 0.087 N
```

Properties
space group = No. 53
formation energy (no corrections) = 0.418 eV/atom